33
Lattice="7.380 -0.001 -0.001 0.285 7.374 -0.001 0.285 0.275 7.369" Properties=species:S:1:pos:R:3 comment="Na8Si6SnO18 GGA-PBEsol optimized geometry" raw_formation_energy_mev_per_atom=-2399 total_magnetization_mub_per_fu=0.00 n_ef_per_ev_atom=0.000 pbc="T T T"
O 1.709 6.846 1.389
O 4.167 1.613 1.554
O 6.177 5.942 3.327
O 5.806 3.753 1.781
O 1.709 1.644 6.789
O 3.975 1.992 5.586
O 2.144 5.727 3.684
O 1.774 1.706 4.040
O 6.242 6.004 0.578
O 6.907 1.442 1.389
O 5.806 1.920 3.684
O 6.242 0.802 5.978
O 2.144 3.895 5.586
O 3.784 6.034 5.813
O 1.044 6.206 5.978
O 1.774 4.101 1.554
O 6.177 3.547 5.813
O 3.975 5.656 1.781
Sn 0.000 0.000 0.000
Si 2.367 5.520 5.318
Si 2.343 5.496 2.049
Si 5.583 2.128 2.049
Si 5.608 5.394 1.951
Si 2.343 2.253 5.416
Si 5.608 2.151 5.318
Na 1.938 1.865 1.796
Na 0.285 3.824 3.684
Na 3.833 0.137 3.684
Na 0.143 0.137 3.685
Na 6.012 5.783 5.571
Na 0.143 3.687 -0.001
Na 3.833 3.687 -0.001
Na 3.690 -0.001 -0.001

8
Lattice="-2.378 -1.327 1.293 1.848 -1.545 1.813 -0.168 8.558 4.957" Properties=species:S:1:pos:R:3 comment="YC2F GGA-PBEsol optimized geometry" raw_formation_energy_mev_per_atom=-147 total_magnetization_mub_per_fu=0.00 n_ef_per_ev_atom=0.305 pbc="T T T"
F -0.265 -1.436 1.553
F -1.406 2.898 3.901
Y 0.000 0.000 0.000
Y 0.707 2.789 4.161
C 0.088 -0.041 3.634
C 0.269 5.673 4.559
C -0.920 5.010 5.206
C -0.835 0.731 2.727

5
Lattice="-1.594 1.218 5.100 -4.775 -2.539 -0.886 2.166 -4.702 1.800" Properties=species:S:1:pos:R:3 comment="Y3FeI GGA-PBEsol optimized geometry" raw_formation_energy_mev_per_atom=764 total_magnetization_mub_per_fu=3.04 n_ef_per_ev_atom=1.578 pbc="T T T"
Y -2.388 -1.269 -0.443
Y -0.797 0.609 2.550
Y 1.083 -2.351 0.900
Fe -2.102 -3.011 3.007
I 0.000 0.000 0.000